[1]
Computed, not measured: crystalline Pr4PtSeI2 at its relaxed geometry at the PBE level of DFT.

- Fermi-level density of states (states/eV per atom) = 0.47
- calculated total energy (eV/atom) = -5.201

Cell and atoms, written as CIF:
```
data_Pr4PtSeI2
_chemical_formula_sum 'Pr4 Pt1 Se1 I2'
_cell_length_a 7.715
_cell_length_b 4.233
_cell_length_c 8.167
_cell_angle_alpha 90.00
_cell_angle_beta 107.03
_cell_angle_gamma 90.00
_space_group_name_H-M_alt 'P 1 2/m 1'
_space_group_IT_number 10
loop_
_space_group_symop_operation_xyz
'x,y,z'
'-x,-y,-z'
'-x,y,-z'
'x,-y,z'
loop_
_atom_site_label
_atom_site_fract_x
_atom_site_fract_y
_atom_site_fract_z
_atom_site_occupancy
Pr1 0.214 0.000 0.197 1
Pr2 0.264 0.500 0.799 1
Pt1 0.000 0.500 0.000 1
Se1 0.500 0.000 0.000 1
I1 0.000 0.000 0.500 1
I2 0.500 0.500 0.500 1
```

[2]
Computed, not measured: crystalline Pr6Pt2Se3I at its relaxed geometry at the PBE level of DFT.

- Fermi-level density of states (states/eV per atom) = 0.65
- calculated total energy (eV/atom) = -5.809

Cell and atoms, written as CIF:
```
data_Pr6Pt2Se3I
_chemical_formula_sum 'Pr12 Pt4 Se6 I2'
_cell_length_a 19.059
_cell_length_b 4.200
_cell_length_c 8.919
_cell_angle_alpha 90.00
_cell_angle_beta 104.47
_cell_angle_gamma 90.00
_space_group_name_H-M_alt 'C 1 2/m 1'
_space_group_IT_number 12
loop_
_space_group_symop_operation_xyz
'x,y,z'
'-x,-y,-z'
'-x,y,-z'
'x,-y,z'
'x+1/2,y+1/2,z'
'-x+1/2,-y+1/2,-z'
'-x+1/2,y+1/2,-z'
'x+1/2,-y+1/2,z'
loop_
_atom_site_label
_atom_site_fract_x
_atom_site_fract_y
_atom_site_fract_z
_atom_site_occupancy
Pr1 0.005 0.000 0.279 1
Pr2 0.172 0.500 0.570 1
Pr3 0.177 0.500 0.105 1
Pt1 0.166 0.000 0.330 1
Se1 0.000 0.500 0.500 1
Se2 0.160 0.000 0.834 1
I1 0.000 0.500 0.000 1
```

[3]
Computed, not measured: crystalline Pr8Pt3SeI4 at its relaxed geometry at the PBE level of DFT.

- Fermi-level density of states (states/eV per atom) = 0.93
- calculated total energy (eV/atom) = -5.287

Cell and atoms, written as CIF:
```
data_Pr8Pt3SeI4
_chemical_formula_sum 'Pr16 Pt6 Se2 I8'
_cell_length_a 15.067
_cell_length_b 8.698
_cell_length_c 9.418
_cell_angle_alpha 90.00
_cell_angle_beta 122.24
_cell_angle_gamma 90.00
_space_group_name_H-M_alt 'C 1 2/m 1'
_space_group_IT_number 12
loop_
_space_group_symop_operation_xyz
'x,y,z'
'-x,-y,-z'
'-x,y,-z'
'x,-y,z'
'x+1/2,y+1/2,z'
'-x+1/2,-y+1/2,-z'
'-x+1/2,y+1/2,-z'
'x+1/2,-y+1/2,z'
loop_
_atom_site_label
_atom_site_fract_x
_atom_site_fract_y
_atom_site_fract_z
_atom_site_occupancy
Pr1 0.021 0.241 0.305 1
Pr2 0.228 0.000 0.683 1
Pr3 0.238 0.500 0.695 1
Pt1 0.000 0.000 0.500 1
Pt2 0.250 0.250 0.500 1
Se1 0.000 0.500 0.500 1
I1 0.000 0.000 0.000 1
I2 0.000 0.500 0.000 1
I3 0.250 0.250 0.000 1
```

[4]
Computed, not measured: crystalline Pr8SiPt3I4 at its relaxed geometry at the PBE level of DFT.

- Fermi-level density of states (states/eV per atom) = 0.69
- calculated total energy (eV/atom) = -5.281

Cell and atoms, written as CIF:
```
data_Pr8SiPt3I4
_chemical_formula_sum 'Pr24 Si3 Pt9 I12'
_cell_length_a 8.6780
_cell_length_b 8.6780
_cell_length_c 24.0631
_cell_angle_alpha 90.00
_cell_angle_beta 90.00
_cell_angle_gamma 120.00
_space_group_name_H-M_alt 'R -3 m'
_space_group_IT_number 166
_space_group_name_Hall '-R 3 2"'
loop_
_atom_site_label
_atom_site_fract_x
_atom_site_fract_y
_atom_site_fract_z
_atom_site_occupancy
Pr1 0.0000 0.0000 0.2293 1
Pr2 0.0048 0.5024 0.7696 1
Si1 0.0000 0.0000 0.5000 1
Pt1 0.0000 0.5000 0.5000 1
I1 0.0000 0.0000 0.0000 1
I2 0.0000 0.5000 0.0000 1
```

[5]
Computed, not measured: crystalline Pr4SiPtI2 at its relaxed geometry at the PBE level of DFT.

- Fermi-level density of states (states/eV per atom) = 0.72
- calculated total energy (eV/atom) = -5.194

Cell and atoms, written as CIF:
```
data_Pr4SiPtI2
_chemical_formula_sum 'Pr4 Si1 Pt1 I2'
_cell_length_a 7.801
_cell_length_b 4.248
_cell_length_c 8.155
_cell_angle_alpha 90.00
_cell_angle_beta 106.97
_cell_angle_gamma 90.00
_space_group_name_H-M_alt 'P 1 2/m 1'
_space_group_IT_number 10
loop_
_space_group_symop_operation_xyz
'x,y,z'
'-x,-y,-z'
'-x,y,-z'
'x,-y,z'
loop_
_atom_site_label
_atom_site_fract_x
_atom_site_fract_y
_atom_site_fract_z
_atom_site_occupancy
Pr1 0.221 0.000 0.189 1
Pr2 0.269 0.500 0.800 1
Si1 0.500 0.000 0.000 1
Pt1 0.000 0.500 0.000 1
I1 0.000 0.000 0.500 1
I2 0.500 0.500 0.500 1
```

[6]
Computed, not measured: crystalline Pr6SiPt2I3 at its relaxed geometry at the PBE level of DFT.

- Fermi-level density of states (states/eV per atom) = 0.82
- calculated total energy (eV/atom) = -5.242

Cell and atoms, written as CIF:
```
data_Pr6SiPt2I3
_chemical_formula_sum 'Pr12 Si2 Pt4 I6'
_cell_length_a 7.536
_cell_length_b 13.058
_cell_length_c 8.334
_cell_angle_alpha 90.00
_cell_angle_beta 107.55
_cell_angle_gamma 90.00
_space_group_name_H-M_alt 'C 1 2/m 1'
_space_group_IT_number 12
loop_
_space_group_symop_operation_xyz
'x,y,z'
'-x,-y,-z'
'-x,y,-z'
'x,-y,z'
'x+1/2,y+1/2,z'
'-x+1/2,-y+1/2,-z'
'-x+1/2,y+1/2,-z'
'x+1/2,-y+1/2,z'
loop_
_atom_site_label
_atom_site_fract_x
_atom_site_fract_y
_atom_site_fract_z
_atom_site_occupancy
Pr1 0.224 0.000 0.192 1
Pr2 0.235 0.330 0.192 1
Si1 0.000 0.500 0.000 1
Pt1 0.000 0.167 0.000 1
I1 0.000 0.000 0.500 1
I2 0.000 0.338 0.500 1
```

[7]
Computed, not measured: crystalline PrSmPtI at its relaxed geometry at the PBE level of DFT.

- Fermi-level density of states (states/eV per atom) = 0.81
- calculated total energy (eV/atom) = -5.381

Cell and atoms, written as CIF:
```
data_PrSmPtI
_chemical_formula_sum 'Pr3 Sm3 Pt3 I3'
_cell_length_a 4.2593
_cell_length_b 4.2593
_cell_length_c 24.4158
_cell_angle_alpha 90.00
_cell_angle_beta 90.00
_cell_angle_gamma 120.00
_space_group_name_H-M_alt 'R 3 m'
_space_group_IT_number 160
_space_group_name_Hall 'R 3 -2"'
loop_
_atom_site_label
_atom_site_fract_x
_atom_site_fract_y
_atom_site_fract_z
_atom_site_occupancy
Pr1 0.0000 0.0000 0.0000 1
Sm1 0.0000 0.0000 0.2095 1
Pt1 0.0000 0.0000 0.6029 1
I1 0.0000 0.0000 0.7741 1
```

[8]
Computed, not measured: crystalline TbPrPtI at its relaxed geometry at the PBE level of DFT.

- Fermi-level density of states (states/eV per atom) = 0.87
- calculated total energy (eV/atom) = -5.361

Cell and atoms, written as CIF:
```
data_TbPrPtI
_chemical_formula_sum 'Tb3 Pr3 Pt3 I3'
_cell_length_a 4.2241
_cell_length_b 4.2241
_cell_length_c 24.2410
_cell_angle_alpha 90.00
_cell_angle_beta 90.00
_cell_angle_gamma 120.00
_space_group_name_H-M_alt 'R 3 m'
_space_group_IT_number 160
_space_group_name_Hall 'R 3 -2"'
loop_
_atom_site_label
_atom_site_fract_x
_atom_site_fract_y
_atom_site_fract_z
_atom_site_occupancy
Tb1 0.0000 0.0000 0.0000 1
Pr1 0.0000 0.0000 0.7904 1
Pt1 0.0000 0.0000 0.3915 1
I1 0.0000 0.0000 0.5650 1
```

Repeat the first record exactly.
Computed, not measured: crystalline Pr4PtSeI2 at its relaxed geometry at the PBE level of DFT.

- Fermi-level density of states (states/eV per atom) = 0.47
- calculated total energy (eV/atom) = -5.201

Cell and atoms, written as CIF:
```
data_Pr4PtSeI2
_chemical_formula_sum 'Pr4 Pt1 Se1 I2'
_cell_length_a 7.715
_cell_length_b 4.233
_cell_length_c 8.167
_cell_angle_alpha 90.00
_cell_angle_beta 107.03
_cell_angle_gamma 90.00
_space_group_name_H-M_alt 'P 1 2/m 1'
_space_group_IT_number 10
loop_
_space_group_symop_operation_xyz
'x,y,z'
'-x,-y,-z'
'-x,y,-z'
'x,-y,z'
loop_
_atom_site_label
_atom_site_fract_x
_atom_site_fract_y
_atom_site_fract_z
_atom_site_occupancy
Pr1 0.214 0.000 0.197 1
Pr2 0.264 0.500 0.799 1
Pt1 0.000 0.500 0.000 1
Se1 0.500 0.000 0.000 1
I1 0.000 0.000 0.500 1
I2 0.500 0.500 0.500 1
```